# ErTh2As3Rh12

A relaxed structure of ErTh2As3Rh12 (PBE-GGA, Alexandria via LeMat-Bulk).

```
18
Lattice="6.6332 -1.4120 -1.0015 2.0481 6.4652 -1.0015 2.0481 1.1921 6.4328" Properties=species:S:1:pos:R:3 pbc="T T T"
As 1.0240 3.2326 -0.5008
As 3.3166 -0.7060 -0.5008
As 1.0240 0.5961 3.2164
Th 6.9587 4.0506 2.8730
Th 3.7706 2.1948 1.5568
Rh 5.2448 0.4814 0.3415
Rh 7.7206 4.4940 0.4629
Rh 5.4845 5.7639 4.0883
Rh 3.0088 4.3228 0.3415
Rh 5.6165 0.5539 3.2700
Rh 3.0088 1.7514 3.9669
Rh 3.2553 4.6103 3.2700
Rh 5.1129 5.6915 1.1598
Rh 7.4740 1.6351 1.1598
Rh 7.7206 1.9225 4.0883
Rh 5.1129 2.9761 4.9881
Rh 5.6165 3.2693 -0.5583
Er 0.0000 0.0000 0.0000
```

Output
DFT total energy   -7.177 eV/atom
V   17.6 A^3/atom
Crystal system   trigonal

---

# Pm3Pr4Ni2

A relaxed structure of Pm3Pr4Ni2 (PBE-GGA, Alexandria via LeMat-Bulk).

```
9
Lattice="-1.7514 0.4393 -3.2993 7.9024 -1.8862 -4.4459 -3.9595 -7.1183 3.2979" Properties=species:S:1:pos:R:3 pbc="T T T"
Pr -0.7632 -4.1856 -2.2959
Pr 4.8641 -3.2786 -5.1623
Pr -2.6727 -5.2867 0.7149
Pr 2.9546 -4.3798 -2.1515
Pm 1.3763 -7.2169 -3.8352
Pm 0.8151 -1.3484 -0.6122
Pm 3.9512 -0.9431 -2.2229
Ni 0.6880 -6.3797 -1.2146
Ni 1.5035 -2.1856 -3.2328
```

Output
DFT total energy   -5.099 eV/atom
V   30.3 A^3/atom
Crystal system   monoclinic

---

# Ce2Dy5Ru5

A relaxed structure of Ce2Dy5Ru5 (PBE-GGA, Alexandria via LeMat-Bulk).

```
12
Lattice="4.8439 0.0022 0.8889 2.3418 4.2399 0.8890 0.1166 0.0695 12.9161" Properties=species:S:1:pos:R:3 pbc="T T T"
Ce 6.6816 3.9449 4.5272
Ce 0.6207 0.3667 10.1668
Ru 6.2182 3.6713 7.0452
Ru 0.0000 0.0000 0.0000
Ru 2.8734 1.6980 11.5609
Ru 4.4289 2.6136 3.1332
Ru 1.0841 0.6402 7.6489
Dy 2.2345 1.3190 1.4660
Dy 3.6512 2.1558 7.3470
Dy 5.0678 2.9925 13.2280
Dy 1.6044 0.9478 4.8943
Dy 5.6979 3.3638 9.7997
```

Output
DFT total energy   -7.043 eV/atom
V   22.1 A^3/atom
Energy above the most stable polymorph in this dataset   0.30 eV per formula unit
Crystal system   monoclinic

---

# Rb3HgPd2F9

A relaxed structure of Rb3HgPd2F9 (PBE-GGA, Alexandria via LeMat-Bulk).

```
15
Lattice="-1.0305 -5.9442 1.6948 4.3182 1.3152 -4.3463 5.3499 0.6436 5.5100" Properties=species:S:1:pos:R:3 pbc="T T T"
F 2.1591 0.6576 -2.1732
F 4.6025 -2.6014 -0.7318
F 3.5376 -4.2542 4.4086
F 1.6439 -2.3145 -1.3258
F 4.0351 -1.3840 3.5903
F 5.6227 -3.6191 2.3100
F 5.1000 0.2688 -1.5501
F -0.5152 -2.9721 0.8474
F 3.0149 -0.3663 0.5485
Hg 2.6749 0.3218 2.7550
Rb 2.5370 -3.3097 1.5191
Rb 0.0000 0.0000 0.0000
Rb 6.1006 -0.6757 1.3394
Pd 5.2795 -2.9798 4.3437
Pd 3.3581 -1.0056 -1.4852
```

Output
DFT total energy   -3.920 eV/atom
V   17.5 A^3/atom
Energy relative to the elements, uncorrected   -1891 meV per atom
Crystal system   trigonal

---

# Nd3Dy4Au4

A relaxed structure of Nd3Dy4Au4 (PBE-GGA, Alexandria via LeMat-Bulk).

```
11
Lattice="-3.2309 0.8792 -3.5495 -1.4523 -7.6261 -0.5671 -3.4104 4.0668 7.4657" Properties=species:S:1:pos:R:3 pbc="T T T"
Dy -4.0186 -1.5012 -0.0681
Dy -4.6404 -4.7665 -0.3109
Dy -4.0751 -1.1789 3.4172
Dy -3.4532 2.0864 3.6601
Au -2.7922 -5.7395 -2.2342
Au -1.8910 -1.0074 -1.8824
Au -3.1023 -3.5266 1.9503
Au -4.9913 0.8465 1.3988
Nd -6.9088 -2.8229 2.2353
Nd -1.1849 0.1428 1.1139
Nd -0.7262 -3.8131 -0.2835
```

Output
DFT total energy   -4.740 eV/atom
V   27.4 A^3/atom
Crystal system   orthorhombic

---

# MnTl3Re

A relaxed structure of MnTl3Re (PBE-GGA, Alexandria via LeMat-Bulk).

```
5
Lattice="5.3458 0.0000 0.0000 0.0000 5.3458 0.0000 0.0000 0.0000 5.3458" Properties=species:S:1:pos:R:3 pbc="T T T"
Tl 0.0000 0.0000 2.6729
Tl 2.6729 0.0000 0.0000
Tl 0.0000 2.6729 0.0000
Re 0.0000 0.0000 0.0000
Mn 2.6729 2.6729 2.6729
```

Output
DFT total energy   -4.676 eV/atom
V   30.6 A^3/atom
Energy above the most stable polymorph in this dataset   0.00 eV per formula unit
Crystal system   cubic